1.
Compound: AgSbP2O
Source: Alexandria via LeMat-Bulk
Functional: PBE
Structure: relaxed

Properties
- energy relative to the elements, uncorrected (eV/atom) = 0.52
- DOS(E_F) (states/eV per atom) = 0.721

Cell lengths 5.1648, 5.1648, 3.8703 Å; angles 90.00, 90.00, 90.00 degrees
Sites, in units of the cell vectors:
Sb  0.0000  0.0000  0.0000
O  0.0000  0.0000  0.5000
Ag  0.5000  0.5000  0.5000
P  0.0000  0.5000  0.0000
P  0.5000  0.0000  0.0000

=====

2.
Compound: ScAgP2O
Source: Alexandria via LeMat-Bulk
Functional: PBE
Structure: relaxed

Properties
- energy relative to the elements, uncorrected (eV/atom) = -0.14
- DOS(E_F) (states/eV per atom) = 0.727

Cell lengths 5.1973, 5.1973, 3.8085 Å; angles 90.00, 90.00, 90.00 degrees
Sites, in units of the cell vectors:
Sc  0.0000  0.0000  0.0000
P  0.0000  0.5000  0.0000
P  0.5000  0.0000  0.0000
O  0.0000  0.0000  0.5000
Ag  0.5000  0.5000  0.5000

=====

3.
Compound: ScAgP2O8
Source: Alexandria via LeMat-Bulk
Functional: PBE
Structure: relaxed

Properties
- energy relative to the elements, uncorrected (eV/atom) = -1.94
- DOS(E_F) (states/eV per atom) = 0.636

Cell lengths 5.3675, 5.3675, 6.4960 Å; angles 90.00, 90.00, 120.00 degrees
Site moments in Bohr magnetons follow the coordinates.
Sites, in units of the cell vectors:
Sc  0.0000  0.0000  0.5000  -0.02
Ag  0.0000  0.0000  0.0000  0.28
P  0.6667  0.3333  0.2218  -0.02
P  0.3333  0.6667  0.7782  -0.02
O  0.3333  0.6667  0.0144  0.34
O  0.3524  0.1765  0.3009  0.15
O  0.8235  0.1759  0.3009  0.15
O  0.6667  0.3333  0.9856  0.34
O  0.1765  0.8241  0.6991  0.15
O  0.6476  0.8235  0.6991  0.15
O  0.1759  0.3524  0.6991  0.15
O  0.8241  0.6476  0.3009  0.15

=====

4.
Compound: ScAgP2O
Source: Alexandria via LeMat-Bulk
Functional: PBE
Structure: relaxed

Properties
- energy relative to the elements, uncorrected (eV/atom) = 0.26
- DOS(E_F) (states/eV per atom) = 0.827

Cell lengths 4.7793, 4.7793, 4.0157 Å; angles 90.00, 90.00, 90.00 degrees
Sites, in units of the cell vectors:
Sc  0.5000  0.5000  0.5000
P  0.0000  0.5000  0.0000
P  0.5000  0.0000  0.0000
O  0.0000  0.0000  0.5000
Ag  0.0000  0.0000  0.0000

=====

5.
Compound: Ag5PSeO4
Source: Alexandria via LeMat-Bulk
Functional: PBE
Structure: relaxed

Properties
- energy relative to the elements, uncorrected (eV/atom) = -0.84
- DOS(E_F) (states/eV per atom) = 0.010

Cell lengths 6.9844, 6.9844, 7.3770 Å; angles 90.00, 90.00, 90.00 degrees
Sites, in units of the cell vectors:
Ag  0.7823  0.7177  0.1952
Ag  0.2177  0.7177  0.1952
Ag  0.7823  0.2823  0.1952
Ag  0.2177  0.2823  0.1952
Ag  0.7177  0.7823  0.8048
Ag  0.2823  0.7823  0.8048
Ag  0.7177  0.2177  0.8048
Ag  0.2823  0.2177  0.8048
Ag  0.0000  0.5000  0.4703
Ag  0.5000  0.0000  0.5297
P  0.5000  0.5000  0.5000
P  0.0000  0.0000  0.5000
Se  0.0000  0.5000  0.9955
Se  0.5000  0.0000  0.0045
O  0.5000  0.3167  0.3776
O  0.5000  0.6833  0.3776
O  0.8167  0.0000  0.3776
O  0.1833  0.0000  0.3776
O  0.0000  0.1833  0.6224
O  0.0000  0.8167  0.6224
O  0.6833  0.5000  0.6224
O  0.3167  0.5000  0.6224

=====

6.
Compound: AgP2SeO8
Source: Alexandria via LeMat-Bulk
Functional: PBE
Structure: relaxed

Properties
- energy relative to the elements, uncorrected (eV/atom) = -1.20
- DOS(E_F) (states/eV per atom) = 0.525

Cell lengths 5.2115, 5.2115, 6.9704 Å; angles 90.00, 90.00, 120.00 degrees
Site moments in Bohr magnetons follow the coordinates.
Sites, in units of the cell vectors:
Ag  0.0000  0.0000  0.5000  0.16
P  0.3333  0.6667  0.7436  -0.01
P  0.6667  0.3333  0.2564  -0.01
Se  0.0000  0.0000  0.0000  0.01
O  0.1689  0.3378  0.8123  0.05
O  0.1689  0.8311  0.8123  0.05
O  0.6622  0.8311  0.8123  0.05
O  0.3378  0.1689  0.1877  0.05
O  0.6667  0.3333  0.4753  0.25
O  0.3333  0.6667  0.5247  0.25
O  0.8311  0.6622  0.1877  0.05
O  0.8311  0.1689  0.1877  0.05

=====

7.
Compound: SiAgP2O8
Source: Alexandria via LeMat-Bulk
Functional: PBE
Structure: relaxed

Properties
- energy relative to the elements, uncorrected (eV/atom) = -1.85
- DOS(E_F) (states/eV per atom) = 0.471

Cell lengths 4.6406, 4.6406, 7.9174 Å; angles 72.96, 72.96, 60.00 degrees
Site moments in Bohr magnetons follow the coordinates.
Sites, in units of the cell vectors:
Si  0.0000  0.0000  0.0000  0.00
Ag  0.5000  0.5000  0.5000  0.17
P  0.2639  0.2639  0.2084  -0.01
P  0.7361  0.7361  0.7916  -0.01
O  0.1946  0.1946  0.4161  0.21
O  0.6239  0.2333  0.1416  0.05
O  0.8054  0.8054  0.5839  0.21
O  0.0012  0.6239  0.1416  0.05
O  0.9988  0.3761  0.8584  0.05
O  0.2333  0.0012  0.1416  0.05
O  0.7667  0.9988  0.8584  0.05
O  0.3761  0.7667  0.8584  0.05

=====

8.
Compound: SiAgP2O
Source: Alexandria via LeMat-Bulk
Functional: PBE
Structure: relaxed

Properties
- energy relative to the elements, uncorrected (eV/atom) = -0.14
- DOS(E_F) (states/eV per atom) = 0.455

Cell lengths 4.8635, 4.8635, 3.2291 Å; angles 90.00, 90.00, 90.00 degrees
Sites, in units of the cell vectors:
P  0.0000  0.5000  0.0000
P  0.5000  0.0000  0.0000
Si  0.0000  0.0000  0.0000
O  0.0000  0.0000  0.5000
Ag  0.5000  0.5000  0.5000